Entry from Alexandria: a relaxed structure of Ac2HfSi3Pt12 (PBE-GGA).

Computed properties:
- calculated volume (A^3/atom) = 21.033
- uncorrected formation energy (eV per atom) = -0.581
- DOS at the Fermi energy (states/eV/f.u.) = 7.83
- magnetic moment (μB/atom) = 0.00
- space-group type = R-3m, No. 166

Cell lengths 7.9760, 7.9760, 7.9760 Å; angles 62.48, 62.48, 62.48 degrees
With the nearest neighbours (Å) after each atom.
Element x y z (fractional)
Ac 0.1074 0.1074 0.1074  6 Pt 3.01-3.04
Ac 0.8926 0.8926 0.8926  6 Pt 3.01-3.04
Hf 0.5000 0.5000 0.5000  6 Pt 2.59
Si 0.0000 0.5000 0.5000  6 Pt 2.35-2.36
Si 0.5000 0.0000 0.5000  6 Pt 2.35-2.36
Si 0.5000 0.5000 0.0000  6 Pt 2.35-2.36
Pt 0.1141 0.6278 0.6278  1 Si 2.36, 1 Hf 2.59
Pt 0.1528 0.1528 0.5999  2 Si 2.35
Pt 0.1528 0.5999 0.1528  2 Si 2.35
Pt 0.3722 0.3722 0.8859  1 Si 2.36, 1 Hf 2.59
Pt 0.3722 0.8859 0.3722  1 Si 2.36, 1 Hf 2.59
Pt 0.4001 0.8472 0.8472  2 Si 2.35
Pt 0.5999 0.1528 0.1528  2 Si 2.35
Pt 0.6278 0.1141 0.6278  1 Si 2.36, 1 Hf 2.59
Pt 0.6278 0.6278 0.1141  1 Si 2.36, 1 Hf 2.59
Pt 0.8472 0.4001 0.8472  2 Si 2.35
Pt 0.8472 0.8472 0.4001  2 Si 2.35
Pt 0.8859 0.3722 0.3722  1 Si 2.36, 1 Hf 2.59

=====

Entry from Alexandria: a relaxed structure of Ce5Tc2Ge2 (PBE-GGA).

Computed properties:
- calculated volume (A^3/atom) = 23.969
- DOS at the Fermi energy (states/eV/f.u.) = 12.54
- magnetic moment (μB/atom) = 0.00
- space-group type = Cmce, No. 64
- DFT total energy (eV/atom) = -6.965

Cell lengths 8.2842, 8.2842, 7.7215 Å; angles 90.00, 90.00, 54.51 degrees
With the nearest neighbours (Å) after each atom.
Element x y z (fractional)
Ce 0.0000 0.0000 0.0000  4 Tc 2.97-2.98, 2 Ge 3.10
Ce 0.0434 0.6990 0.6715  3 Tc 2.81-3.06, 3 Ge 3.01-3.10
Ce 0.1990 0.5434 0.1715  3 Tc 2.81-3.06, 3 Ge 3.01-3.10
Ce 0.3010 0.9566 0.6715  3 Tc 2.81-3.06, 3 Ge 3.01-3.10
Ce 0.4566 0.8010 0.1715  3 Tc 2.81-3.06, 3 Ge 3.01-3.10
Ce 0.5000 0.5000 0.5000  4 Tc 2.97-2.98, 2 Ge 3.10
Ce 0.5434 0.1990 0.8285  3 Tc 2.81-3.06, 3 Ge 3.01-3.10
Ce 0.6990 0.0434 0.3285  3 Tc 2.81-3.06, 3 Ge 3.01-3.10
Ce 0.8010 0.4566 0.8285  3 Tc 2.81-3.06, 3 Ge 3.01-3.10
Ce 0.9566 0.3010 0.3285  3 Tc 2.81-3.06, 3 Ge 3.01-3.10
Tc 0.1346 0.8654 0.3626  8 Ce 2.81-3.06, 1 Tc 2.95
Tc 0.3654 0.6346 0.8626  8 Ce 2.81-3.06, 1 Tc 2.95
Tc 0.6346 0.3654 0.1374  8 Ce 2.81-3.06, 1 Tc 2.95
Tc 0.8654 0.1346 0.6374  8 Ce 2.81-3.06, 1 Tc 2.95
Ge 0.2106 0.2106 0.0000  7 Ce 3.01-3.10
Ge 0.2894 0.2894 0.5000  7 Ce 3.01-3.10
Ge 0.7106 0.7106 0.5000  7 Ce 3.01-3.10
Ge 0.7894 0.7894 0.0000  7 Ce 3.01-3.10

=====

Entry from Alexandria: a relaxed structure of ErTlAg (PBE-GGA).

Computed properties:
- calculated volume (A^3/atom) = 27.579
- DOS at the Fermi energy (states/eV/f.u.) = 2.76
- magnetic moment (μB/atom) = 0.00
- space-group type = I4mm, No. 107
- DFT total energy (eV/atom) = -2.925

Cell lengths 3.1657, 3.1657, 16.5118 Å; angles 90.00, 90.00, 90.00 degrees
With the nearest neighbours (Å) after each atom.
Element x y z (fractional)
Er 0.0000 0.0000 0.0000  1 Ag 2.90, 4 Er 3.17
Er 0.5000 0.5000 0.5000  1 Ag 2.90, 4 Er 3.17
Tl 0.0000 0.0000 0.3496  1 Ag 2.87, 4 Tl 3.17
Tl 0.5000 0.5000 0.8496  1 Ag 2.87, 4 Tl 3.17
Ag 0.0000 0.0000 0.1756  1 Tl 2.87, 1 Er 2.90, 4 Ag 3.17
Ag 0.5000 0.5000 0.6756  1 Tl 2.87, 1 Er 2.90, 4 Ag 3.17

=====

Entry from Alexandria: a relaxed structure of TlAgIN2 (PBE-GGA).

Computed properties:
- calculated volume (A^3/atom) = 27.261
- uncorrected formation energy (eV per atom) = 1.515
- DOS at the Fermi energy (states/eV/f.u.) = 0.86
- magnetic moment (μB/atom) = 0.86
- polymorph energy (0 for the lowest one) (meV per atom) = 0
- space-group type = P4/mmm, No. 123

Cell lengths 4.5517, 4.5517, 6.5788 Å; angles 90.00, 90.00, 90.00 degrees
With the nearest neighbours (Å) after each atom.
Element x y z (fractional)
Tl 0.0000 0.0000 0.0000  4 I 3.22
Ag 0.5000 0.5000 0.5000  4 N 2.28
I 0.5000 0.5000 0.0000  4 Tl 3.22, 2 Ag 3.29
N 0.0000 0.5000 0.5000  2 Ag 2.28
N 0.5000 0.0000 0.5000  2 Ag 2.28

=====

Entry from Alexandria: a relaxed structure of Tl2NiCl (PBE-GGA).

Computed properties:
- calculated volume (A^3/atom) = 25.976
- uncorrected formation energy (eV per atom) = -0.093
- DOS at the Fermi energy (states/eV/f.u.) = 1.48
- magnetic moment (μB/atom) = 0.00
- polymorph energy (0 for the lowest one) (meV per atom) = 33
- space-group type = Pm, No. 6

Cell lengths 3.7953, 5.2300, 5.2347 Å; angles 90.00, 90.29, 90.00 degrees
With the nearest neighbours (Å) after each atom.
Element x y z (fractional)
Tl 0.0000 0.0000 0.0000  2 Ni 2.62
Tl 0.0073 0.5000 0.4999  2 Ni 2.62
Ni 0.0194 0.0000 0.5001  4 Tl 2.62
Cl 0.5054 0.5000 0.0000  8 Tl 3.22-3.25

=====

Entry from Alexandria: a relaxed structure of LiAl2 (PBE-GGA).

Computed properties:
- calculated volume (A^3/atom) = 16.752
- DOS at the Fermi energy (states/eV/f.u.) = 1.10
- magnetic moment (μB/atom) = 0.00
- polymorph energy (0 for the lowest one) (meV per atom) = 221
- space-group type = P-62m, No. 189

Cell lengths 6.4927, 6.4927, 4.1298 Å; angles 90.00, 90.00, 120.00 degrees
With the nearest neighbours (Å) after each atom.
Element x y z (fractional)
Li 0.0000 0.0000 0.0000  9 Al 2.60-2.87
Li 0.3333 0.6667 0.5000  3 Al 2.51
Li 0.6667 0.3333 0.5000  3 Al 2.51
Al 0.0000 0.2422 0.5000  4 Li 2.51-2.60, 2 Al 2.72
Al 0.0000 0.5587 0.0000  5 Li 2.81-2.87, 2 Al 2.91
Al 0.2422 0.0000 0.5000  4 Li 2.51-2.60, 2 Al 2.72
Al 0.4413 0.4413 0.0000  5 Li 2.81-2.87, 2 Al 2.91
Al 0.5587 0.0000 0.0000  5 Li 2.81-2.87, 2 Al 2.91
Al 0.7578 0.7578 0.5000  4 Li 2.51-2.60, 2 Al 2.72

=====

Entry from Alexandria: a relaxed structure of CaSn2Pb3Se6 (PBE-GGA).

Computed properties:
- calculated volume (A^3/atom) = 28.699
- uncorrected formation energy (eV per atom) = -0.757
- magnetic moment (μB/atom) = 0.00
- space-group type = C2/m, No. 12

Cell lengths 9.6858, 9.6858, 8.6686 Å; angles 102.96, 102.96, 25.79 degrees
With the nearest neighbours (Å) after each atom.
Element x y z (fractional)
Ca 0.0000 0.0000 0.0000  6 Se 3.00
Sn 0.3338 0.3338 0.6682  6 Se 3.02-3.04
Sn 0.6662 0.6662 0.3318  6 Se 3.02-3.04
Pb 0.0000 0.0000 0.5000  6 Se 3.10-3.12
Pb 0.3342 0.3342 0.1669  6 Se 3.08-3.14
Pb 0.6658 0.6658 0.8331  6 Se 3.08-3.14
Se 0.1631 0.1631 0.0875  1 Ca 3.00, 2 Sn 3.02, 3 Pb 3.10-3.14
Se 0.1686 0.1686 0.5794  3 Sn 3.04, 3 Pb 3.09-3.10
Se 0.4984 0.4984 0.7586  2 Ca 3.00, 1 Sn 3.02, 3 Pb 3.08-3.12
Se 0.5016 0.5016 0.2414  2 Ca 3.00, 1 Sn 3.02, 3 Pb 3.08-3.12
Se 0.8314 0.8314 0.4206  3 Sn 3.04, 3 Pb 3.09-3.10
Se 0.8369 0.8369 0.9125  1 Ca 3.00, 2 Sn 3.02, 3 Pb 3.10-3.14

=====

Entry from Alexandria: a relaxed structure of Tb4PmN4 (PBE-GGA).

Computed properties:
- calculated volume (A^3/atom) = 17.346
- uncorrected formation energy (eV per atom) = -1.432
- DOS at the Fermi energy (states/eV/f.u.) = 2.78
- magnetic moment (μB/atom) = 0.00
- space-group type = I4/m, No. 87

Cell lengths 6.1362, 6.1362, 6.1362 Å; angles 99.37, 99.37, 132.39 degrees
With the nearest neighbours (Å) after each atom.
Element x y z (fractional)
Tb 0.1098 0.3146 0.4244  5 N 2.37-2.53
Tb 0.3146 0.8902 0.2047  5 N 2.37-2.53
Tb 0.6854 0.1098 0.7953  5 N 2.37-2.53
Tb 0.8902 0.6854 0.5756  5 N 2.37-2.53
Pm 0.5000 0.5000 0.0000  4 N 2.53
N 0.1971 0.5996 0.7967  5 Tb 2.37-2.53, 1 Pm 2.53
N 0.4004 0.1971 0.5975  5 Tb 2.37-2.53, 1 Pm 2.53
N 0.5996 0.8029 0.4025  5 Tb 2.37-2.53, 1 Pm 2.53
N 0.8029 0.4004 0.2033  5 Tb 2.37-2.53, 1 Pm 2.53

=====

Entry from Alexandria: a relaxed structure of HoLu2Se (PBE-GGA).

Computed properties:
- calculated volume (A^3/atom) = 29.050
- uncorrected formation energy (eV per atom) = -0.472
- DOS at the Fermi energy (states/eV/f.u.) = 6.05
- magnetic moment (μB/atom) = 0.06
- polymorph energy (0 for the lowest one) (meV per atom) = 181
- space-group type = R-3m, No. 166

Cell lengths 3.6037, 3.6037, 30.9959 Å; angles 90.00, 90.00, 120.00 degrees
With the nearest neighbours (Å) after each atom.
Element x y z (fractional)
Ho 0.0000 0.0000 0.0000  2 Lu 3.33, 6 Ho 3.60
Ho 0.3333 0.6667 0.6667  2 Lu 3.33, 6 Ho 3.60
Ho 0.6667 0.3333 0.3333  2 Lu 3.33, 6 Ho 3.60
Lu 0.0000 0.0000 0.1076  3 Se 2.77
Lu 0.0000 0.0000 0.8924  3 Se 2.77
Lu 0.3333 0.6667 0.5591  3 Se 2.77
Lu 0.3333 0.6667 0.7742  3 Se 2.77
Lu 0.6667 0.3333 0.2258  3 Se 2.77
Lu 0.6667 0.3333 0.4409  3 Se 2.77
Se 0.0000 0.0000 0.5000  6 Lu 2.77
Se 0.3333 0.6667 0.1667  6 Lu 2.77
Se 0.6667 0.3333 0.8333  6 Lu 2.77

=====

Entry from Alexandria: a relaxed structure of HgRu2 (PBE-GGA).

Computed properties:
- calculated volume (A^3/atom) = 16.189
- DOS at the Fermi energy (states/eV/f.u.) = 2.91
- magnetic moment (μB/atom) = 0.00
- polymorph energy (0 for the lowest one) (meV per atom) = 87
- space-group type = C2/m, No. 12

Cell lengths 10.4152, 2.8218, 6.8650 Å; angles 90.00, 105.66, 90.00 degrees
With the nearest neighbours (Å) after each atom.
Element x y z (fractional)
Hg 0.1373 0.0000 0.0339  5 Hg 2.77-2.88, 7 Ru 2.94-3.04
Hg 0.3627 0.5000 0.9661  5 Hg 2.77-2.88, 7 Ru 2.94-3.04
Hg 0.6373 0.5000 0.0339  5 Hg 2.77-2.88, 7 Ru 2.94-3.04
Hg 0.8627 0.0000 0.9661  5 Hg 2.77-2.88, 7 Ru 2.94-3.04
Ru 0.0288 0.5000 0.3341  5 Ru 2.51-2.75
Ru 0.1879 0.0000 0.6182  9 Ru 2.61-2.88
Ru 0.3121 0.5000 0.3818  9 Ru 2.61-2.88
Ru 0.4712 0.0000 0.6659  5 Ru 2.51-2.75
Ru 0.5288 0.0000 0.3341  5 Ru 2.51-2.75
Ru 0.6879 0.5000 0.6182  9 Ru 2.61-2.88
Ru 0.8121 0.0000 0.3818  9 Ru 2.61-2.88
Ru 0.9712 0.5000 0.6659  5 Ru 2.51-2.75

=====

Entry from Alexandria: a relaxed structure of PrZn2GaNi4 (PBE-GGA).

Computed properties:
- calculated volume (A^3/atom) = 15.162
- DOS at the Fermi energy (states/eV/f.u.) = 4.87
- magnetic moment (μB/atom) = 0.00
- space-group type = R-3m, No. 166
- DFT total energy (eV/atom) = -4.470

Cell lengths 8.7277, 8.7277, 8.7277 Å; angles 27.05, 27.05, 27.05 degrees
With the nearest neighbours (Å) after each atom.
Element x y z (fractional)
Pr 0.0000 0.0000 0.0000  8 Ni 2.99-3.33
Zn 0.2380 0.2380 0.2380  7 Ni 2.42-2.67
Zn 0.7620 0.7620 0.7620  7 Ni 2.42-2.67
Ga 0.5000 0.5000 0.5000  8 Ni 2.35-2.51
Ni 0.1323 0.1323 0.1323  3 Ga 2.51, 4 Zn 2.53-2.67, 3 Ni 2.79
Ni 0.4066 0.4066 0.4066  1 Ga 2.35, 3 Zn 2.42
Ni 0.5934 0.5934 0.5934  1 Ga 2.35, 3 Zn 2.42
Ni 0.8677 0.8677 0.8677  3 Ga 2.51, 4 Zn 2.53-2.67, 3 Ni 2.79

=====

Entry from Alexandria: a relaxed structure of CeHoCdGe (PBE-GGA).

Computed properties:
- calculated volume (A^3/atom) = 24.782
- DOS at the Fermi energy (states/eV/f.u.) = 7.57
- magnetic moment (μB/atom) = 0.24
- space-group type = F-43m, No. 216
- DFT total energy (eV/atom) = -4.425

Cell lengths 7.3466, 7.3466, 7.3466 Å; angles 90.00, 90.00, 90.00 degrees
With the nearest neighbours (Å) after each atom.
Element x y z (fractional)
Ce 0.0000 0.0000 0.0000  4 Ge 3.18, 4 Cd 3.18
Ce 0.0000 0.5000 0.5000  4 Ge 3.18, 4 Cd 3.18
Ce 0.5000 0.0000 0.5000  4 Ge 3.18, 4 Cd 3.18
Ce 0.5000 0.5000 0.0000  4 Ge 3.18, 4 Cd 3.18
Ho 0.0000 0.0000 0.5000  4 Cd 3.18, 4 Ge 3.18
Ho 0.0000 0.5000 0.0000  4 Cd 3.18, 4 Ge 3.18
Ho 0.5000 0.0000 0.0000  4 Cd 3.18, 4 Ge 3.18
Ho 0.5000 0.5000 0.5000  4 Cd 3.18, 4 Ge 3.18
Cd 0.2500 0.2500 0.7500  4 Ce 3.18, 4 Ho 3.18
Cd 0.2500 0.7500 0.2500  4 Ce 3.18, 4 Ho 3.18
Cd 0.7500 0.2500 0.2500  4 Ce 3.18, 4 Ho 3.18
Cd 0.7500 0.7500 0.7500  4 Ce 3.18, 4 Ho 3.18
Ge 0.2500 0.2500 0.2500  4 Ho 3.18, 4 Ce 3.18
Ge 0.2500 0.7500 0.7500  4 Ho 3.18, 4 Ce 3.18
Ge 0.7500 0.2500 0.7500  4 Ho 3.18, 4 Ce 3.18
Ge 0.7500 0.7500 0.2500  4 Ho 3.18, 4 Ce 3.18